Record 1
A relaxed Tb4Tm3Rh4 crystal, computed with PBE.

Calculated values
total DFT energy (no corrections) = -6.2150 eV/atom
crystal system = orthorhombic

Cell lengths 3.6245, 8.9176, 9.3311 Å; angles 118.54, 101.20, 90.00 degrees
Closest atoms and distances in Å follow each position.
Fractional coordinates of all 11 atoms:
Tb: 0.6639 0.4775 0.3279  4 Rh 2.77-3.07
Tb: 0.3361 0.5225 0.6721  4 Rh 2.77-3.07
Tb: 0.3361 0.1497 0.6721  4 Rh 2.77-3.07
Tb: 0.6639 0.8503 0.3279  4 Rh 2.77-3.07
Rh: 0.5000 0.2136 0.0000  2 Tb 2.77, 4 Tm 3.09
Rh: 0.7437 0.2437 0.4874  6 Tb 2.87-3.07, 2 Tm 2.91
Rh: 0.5000 0.7864 0.0000  2 Tb 2.77, 4 Tm 3.09
Rh: 0.2563 0.7563 0.5126  6 Tb 2.87-3.07, 2 Tm 2.91
Tm: 0.8989 0.8989 0.7979  6 Rh 2.91-3.09, 1 Tm 3.23
Tm: 0.0000 0.5000 0.0000  4 Rh 3.13
Tm: 0.1011 0.1011 0.2021  6 Rh 2.91-3.09, 1 Tm 3.23


Record 2
A relaxed Tb3TmRh2 crystal, computed with PBE.

Calculated values
total DFT energy (no corrections) = -6.1043 eV/atom
crystal system = monoclinic
energy above the lowest structure with this stoichiometry = 0.0 meV per atom

Cell lengths 4.2369, 8.3079, 10.4110 Å; angles 68.85, 78.26, 75.23 degrees
Closest atoms and distances in Å follow each position.
Fractional coordinates of all 12 atoms:
Tb: 0.2121 0.1722 0.4037  3 Rh 2.82
Tb: 0.6639 0.6975 0.9747  3 Rh 2.81-2.84
Tb: 0.7879 0.8278 0.5963  3 Rh 2.82
Tb: 0.9474 0.8888 0.2165  3 Rh 2.87
Tb: 0.3361 0.3025 0.0253  3 Rh 2.81-2.84
Tb: 0.0526 0.1112 0.7835  3 Rh 2.87
Tm: 0.4273 0.4796 0.6657  3 Rh 2.72-2.77
Tm: 0.5727 0.5204 0.3343  3 Rh 2.72-2.77
Rh: 0.8605 0.4387 0.8402  2 Tm 2.72, 4 Tb 2.81-2.87
Rh: 0.3833 0.8162 0.4172  2 Tm 2.77-3.04, 5 Tb 2.82-2.87
Rh: 0.1395 0.5613 0.1598  2 Tm 2.72, 4 Tb 2.81-2.87
Rh: 0.6167 0.1838 0.5828  2 Tm 2.77-3.04, 5 Tb 2.82-2.87